# 1
This record from Alexandria describes crystalline Mn2Cr2Pt at its relaxed geometry. The functional is PBE.

Unit cell a=6.7867 b=6.7867 c=2.6549 alpha=90.00 beta=90.00 gamma=90.00
Fractional positions:
Cr  0.3795  0.8795  0.0000
Cr  0.8795  0.6205  0.0000
Cr  0.6205  0.1205  0.0000
Cr  0.1205  0.3795  0.0000
Mn  0.1811  0.6811  0.5000
Mn  0.6811  0.8189  0.5000
Mn  0.8189  0.3189  0.5000
Mn  0.3189  0.1811  0.5000
Pt  0.0000  0.0000  0.0000
Pt  0.5000  0.5000  0.0000

Results
DOS(E_F)	0.67	states/eV per atom
calculated formation energy	0.15	eV per atom

# 2
This record from Alexandria describes crystalline MnCrPt2 at its relaxed geometry. The functional is PBE.

Unit cell a=2.7122 b=2.7122 c=7.6476 alpha=90.00 beta=90.00 gamma=90.00
Last column: magnetic moment on the atom in μB.
Fractional positions:
Cr  0.0000  0.0000  0.5087  -1.15
Mn  0.5000  0.5000  0.7357  2.93
Pt  0.0000  0.0000  0.9843  0.14
Pt  0.5000  0.5000  0.2712  0.02

Results
DOS(E_F)	1.01	states/eV per atom
calculated formation energy	-0.12	eV per atom

# 3
This record from Alexandria describes crystalline MnCrPt2 at its relaxed geometry. The functional is PBE.

Unit cell a=4.7721 b=4.7721 c=4.6608 alpha=78.23 beta=78.23 gamma=34.48
Last column: magnetic moment on the atom in μB.
Fractional positions:
Cr  0.4943  0.4943  0.4911  -2.78
Mn  0.7549  0.7549  0.7574  3.50
Pt  0.0060  0.0060  0.9822  0.11
Pt  0.2448  0.2448  0.2692  0.09

Results
DOS(E_F)	1.02	states/eV per atom
calculated formation energy	-0.23	eV per atom